This record from the Alexandria database describes Tb3Er4Tm5 after structural relaxation. The functional is PBE.

Computed properties:
Final energy   -4.288 eV/atom
Formation energy from the elements   0.253 eV per atom
Space-group type   C2/m, No. 12
Spin magnetization   0.48 μB per formula unit
Calculated density   8.81 Mg/m³

a b c (Å): 8.4052 8.4052 9.1585
angles (deg): 114.68 114.68 40.34
Sites, in units of the cell vectors:
Tb1 0.0000 0.0000 0.0000
Tb2 0.2910 0.2910 0.7677
Tb3 0.7090 0.7090 0.2323
Er1 0.2883 0.2883 0.1221
Er2 0.4191 0.4191 0.5598
Er3 0.5809 0.5809 0.4402
Er4 0.7117 0.7117 0.8779
Tm1 0.0729 0.0729 0.6984
Tm2 0.1727 0.1727 0.3865
Tm3 0.5000 0.5000 0.0000
Tm4 0.8273 0.8273 0.6135
Tm5 0.9271 0.9271 0.3016

This record from the Alexandria database describes Pu2RuF after structural relaxation. The functional is PBE.

Computed properties:
Final energy   -10.988 eV/atom
Space-group type   P4/mmm, No. 123
Spin magnetization   10.85 μB per formula unit
Formation energy from raw total energies   -99.9 kJ/mol of atoms
Calculated density   13.21 Mg/m³

a b c (Å): 3.1949 3.1949 7.4894
angles (deg): 90.00 90.00 90.00
Sites, in units of the cell vectors:
Pu1 0.0000 0.0000 0.2433
Pu2 0.0000 0.0000 0.7567
Ru1 0.5000 0.5000 0.0000
F1 0.5000 0.5000 0.5000

This record from the Alexandria database describes LiCu2Pd2Au after structural relaxation. The functional is PBE.

Computed properties:
Final energy   -4.196 eV/atom
Formation energy from the elements   -0.234 eV per atom
Space-group type   Pmc2_1, No. 26
Spin magnetization   0.00 μB per formula unit
Calculated density   10.46 Mg/m³

a b c (Å): 3.8269 8.2333 5.4823
angles (deg): 90.00 90.00 90.00
Sites, in units of the cell vectors:
Li1 0.0000 0.0080 0.0000
Li2 0.0000 0.9920 0.5000
Cu1 0.0000 0.3359 0.4905
Cu2 0.0000 0.6641 0.9905
Cu3 0.5000 0.4996 0.2408
Cu4 0.5000 0.5004 0.7408
Pd1 0.0000 0.3522 0.9939
Pd2 0.0000 0.6478 0.4939
Pd3 0.5000 0.1729 0.2514
Pd4 0.5000 0.8271 0.7514
Au1 0.5000 0.1670 0.7445
Au2 0.5000 0.8330 0.2445

This record from the Alexandria database describes MgSiRh2 after structural relaxation. The functional is PBE.

Computed properties:
Final energy   -5.943 eV/atom
Space-group type   R-3m, No. 166
Spin magnetization   0.00 μB per formula unit
Formation energy from raw total energies   -49.5 kJ/mol of atoms
Calculated density   7.19 Mg/m³

a b c (Å): 8.0831 8.0831 8.0831
angles (deg): 21.05 21.05 21.05
Sites, in units of the cell vectors:
Mg1 0.0000 0.0000 0.0000
Si1 0.5000 0.5000 0.5000
Rh1 0.2394 0.2394 0.2394
Rh2 0.7606 0.7606 0.7606

This record from the Alexandria database describes Tl2Hg2Pt after structural relaxation. The functional is PBE.

Computed properties:
Final energy   -2.167 eV/atom
Formation energy from the elements   0.108 eV per atom
Space-group type   P4/mbm, No. 127
Spin magnetization   0.00 μB per formula unit
Calculated density   12.36 Mg/m³

a b c (Å): 7.2008 7.2008 5.2091
angles (deg): 90.00 90.00 90.00
Sites, in units of the cell vectors:
Tl1 0.1748 0.3252 0.0000
Tl2 0.3252 0.8252 0.0000
Tl3 0.6748 0.1748 0.0000
Tl4 0.8252 0.6748 0.0000
Hg1 0.1521 0.6521 0.5000
Hg2 0.3479 0.1521 0.5000
Hg3 0.6521 0.8479 0.5000
Hg4 0.8479 0.3479 0.5000
Pt1 0.0000 0.0000 0.5000
Pt2 0.5000 0.5000 0.5000

This record from the Alexandria database describes Ac7In3N2 after structural relaxation. The functional is PBE.

Computed properties:
Final energy   -5.073 eV/atom
Space-group type   Cmmm, No. 65
Spin magnetization   0.00 μB per formula unit
Formation energy from raw total energies   -58.3 kJ/mol of atoms
Calculated density   8.59 Mg/m³

a b c (Å): 13.5929 13.5929 5.2574
angles (deg): 90.00 90.00 157.01
Sites, in units of the cell vectors:
Ac1 0.0000 0.0000 0.0000
Ac2 0.0976 0.9024 0.5000
Ac3 0.2002 0.7998 0.0000
Ac4 0.3982 0.6018 0.0000
Ac5 0.6018 0.3982 0.0000
Ac6 0.7998 0.2002 0.0000
Ac7 0.9024 0.0976 0.5000
In1 0.3053 0.6947 0.5000
In2 0.5000 0.5000 0.5000
In3 0.6947 0.3053 0.5000
N1 0.1032 0.8968 0.0000
N2 0.8968 0.1032 0.0000

This record from the Alexandria database describes LiTb2Zn3 after structural relaxation. The functional is PBE.

Computed properties:
Final energy   -2.744 eV/atom
Formation energy from the elements   -0.244 eV per atom
Space-group type   Fmmm, No. 69
Spin magnetization   0.00 μB per formula unit
Calculated density   7.02 Mg/m³

a b c (Å): 9.2574 8.6831 5.6923
angles (deg): 77.08 66.10 36.82
Sites, in units of the cell vectors:
Li1 0.1668 0.1668 0.8332
Li2 0.8332 0.8332 0.1668
Tb1 0.2500 0.2500 0.2500
Tb2 0.2518 0.7482 0.7482
Tb3 0.7482 0.2518 0.2518
Tb4 0.7500 0.7500 0.7500
Zn1 0.1669 0.6659 0.3341
Zn2 0.3337 0.3337 0.6663
Zn3 0.3341 0.8331 0.1669
Zn4 0.6659 0.1669 0.8331
Zn5 0.6663 0.6663 0.3337
Zn6 0.8331 0.3341 0.6659